No. 1
Entry from Alexandria via LeMat-Bulk: a relaxed Ag2AuBr crystal (PBE-GGA).

Results
Symmetry: Cm
Formation energy (no corrections) (meV/atom): 78
Energy above the lowest structure with this stoichiometry (meV/atom): 120

Unit cell a=4.7876 b=4.7876 c=6.4490 alpha=97.17 beta=97.17 gamma=41.79
Atoms (fractional coordinates):
Ag 0.0263 0.0263 0.9558
Br 0.3237 0.3237 0.1897
Au 0.4267 0.4267 0.5964
Ag 0.7232 0.7232 0.7581

No. 2
Entry from Alexandria via LeMat-Bulk: a relaxed Fe2Pd5Au5 crystal (PBE-GGA).

Results
Symmetry: C2/m
Energy of formation from the pure elements (meV/atom): -43.4

Unit cell a=4.0050 b=6.3204 c=8.5140 alpha=72.60 beta=76.40 gamma=71.53
Site moments in Bohr magnetons follow the coordinates.
Atoms (fractional coordinates):
Au 0.3338 0.3338 0.9986  0.05
Fe 0.0858 0.5727 0.2556  3.27
Pd 0.2575 0.7377 0.7473  0.18
Pd 0.8378 0.8254 0.4990  0.22
Pd 0.7425 0.2623 0.2527  0.18
Au 0.5832 0.0860 0.7476  0.03
Fe 0.9142 0.4273 0.7444  3.27
Pd 0.0000 0.0000 0.0000  0.15
Pd 0.1622 0.1746 0.5010  0.22
Au 0.5000 0.5000 0.5000  0.07
Au 0.4168 0.9140 0.2524  0.03
Au 0.6662 0.6662 0.0014  0.05

No. 3
Entry from Alexandria via LeMat-Bulk: a relaxed Ce2Si5Pt3 crystal (PBE-GGA).

Results
Symmetry: Ibam
Formation energy (no corrections) (meV/atom): -974

Unit cell a=6.1273 b=8.2330 c=8.2330 alpha=89.35 beta=68.15 gamma=68.15
Site moments in Bohr magnetons follow the coordinates.
Atoms (fractional coordinates):
Ce 0.2692 0.8601 0.6017  0.51
Si 0.6488 0.9649 0.7374  0.00
Si 0.1488 0.7374 0.9649  0.00
Ce 0.2308 0.3983 0.1399  0.51
Si 0.2500 0.7721 0.2279  0.00
Pt 0.3897 0.4736 0.7471  -0.01
Si 0.7500 0.7721 0.2279  0.00
Pt 0.7500 0.0001 0.9999  0.00
Si 0.8512 0.2626 0.0351  0.00
Si 0.3512 0.0351 0.2626  0.00
Pt 0.8897 0.7471 0.4736  -0.01
Si 0.2500 0.5000 0.5000  0.00
Ce 0.7308 0.1399 0.3983  0.51
Pt 0.2500 0.9999 0.0001  0.00
Si 0.7500 0.2279 0.7721  0.00
Pt 0.6103 0.5264 0.2529  -0.01
Pt 0.1103 0.2529 0.5264  -0.01
Ce 0.7692 0.6017 0.8601  0.51
Si 0.2500 0.2279 0.7721  0.00
Si 0.7500 0.5000 0.5000  0.00

No. 4
Entry from Alexandria via LeMat-Bulk: a relaxed TaCd2Co crystal (PBE-GGA).

Results
Symmetry: Cm
Energy of formation from the pure elements (meV/atom): 312.0
Energy above the lowest structure with this stoichiometry (meV/atom): 240

Unit cell a=5.0973 b=5.0973 c=5.0726 alpha=72.26 beta=72.26 gamma=34.79
Atoms (fractional coordinates):
Co 0.5148 0.5148 0.4482
Ta 0.2148 0.2148 0.3047
Cd 0.7723 0.7723 0.7549
Cd 0.9981 0.9981 0.9923

No. 5
Entry from Alexandria via LeMat-Bulk: a relaxed CsPuAs crystal (PBE-GGA).

Results
Symmetry: I4mm
Energy of formation from the pure elements (meV/atom): -321.1

Unit cell a=3.9710 b=3.9710 c=7.6674 alpha=105.01 beta=105.01 gamma=90.00
Site moments in Bohr magnetons follow the coordinates.
Atoms (fractional coordinates):
As 0.7113 0.7113 0.4226  -0.14
Pu 0.2682 0.2682 0.5365  5.42
Cs 0.0205 0.0205 0.0409  0.05

No. 6
Entry from Alexandria via LeMat-Bulk: a relaxed CsPtNF2 crystal (PBE-GGA).

Results
Symmetry: P4/mmm
Formation energy (no corrections) (meV/atom): 1082
Energy above the lowest structure with this stoichiometry (meV/atom): 1981

Unit cell a=5.1838 b=5.1838 c=4.8295 alpha=90.00 beta=90.00 gamma=90.00
Site moments in Bohr magnetons follow the coordinates.
Atoms (fractional coordinates):
F 0.5000 0.0000 0.0000  0.13
N 0.0000 0.0000 0.5000  1.27
Cs 0.0000 0.0000 0.0000  0.12
Pt 0.5000 0.5000 0.5000  0.80
F 0.0000 0.5000 0.0000  0.13

No. 7
Entry from Alexandria via LeMat-Bulk: a relaxed ZrBe2Pt2 crystal (PBE-GGA).

Results
Symmetry: I4/mmm
Energy of formation from the pure elements (meV/atom): -685.8
Energy above the lowest structure with this stoichiometry (meV/atom): 86

Unit cell a=3.5093 b=3.5093 c=6.5209 alpha=74.39 beta=74.39 gamma=90.00
Atoms (fractional coordinates):
Zr 0.0000 0.0000 0.0000
Be 0.7500 0.2500 0.5000
Pt 0.3829 0.3829 0.2341
Pt 0.6171 0.6171 0.7659
Be 0.2500 0.7500 0.5000

No. 8
Entry from Alexandria via LeMat-Bulk: a relaxed Sr3HgPt crystal (PBE-GGA).

Results
Symmetry: Pnma
Energy of formation from the pure elements (meV/atom): -608.5
Energy above the lowest structure with this stoichiometry (meV/atom): 0

Unit cell a=4.7506 b=8.3662 c=17.4311 alpha=90.00 beta=90.00 gamma=90.00
Atoms (fractional coordinates):
Sr 0.2500 0.0145 0.4047
Sr 0.2500 0.8667 0.9500
Sr 0.7500 0.9855 0.5953
Sr 0.2500 0.3667 0.5500
Sr 0.7500 0.1333 0.0500
Pt 0.2500 0.2647 0.9581
Sr 0.7500 0.6333 0.4500
Sr 0.7500 0.8266 0.2118
Sr 0.7500 0.3266 0.2882
Sr 0.2500 0.5145 0.0953
Sr 0.2500 0.1734 0.7882
Hg 0.2500 0.6226 0.3040
Sr 0.7500 0.4855 0.9047
Hg 0.2500 0.1226 0.1960
Hg 0.7500 0.8774 0.8040
Pt 0.7500 0.7353 0.0419
Pt 0.2500 0.7647 0.5419
Sr 0.2500 0.6734 0.7118
Hg 0.7500 0.3774 0.6960
Pt 0.7500 0.2353 0.4581

No. 9
Entry from Alexandria via LeMat-Bulk: a relaxed Pa6PtSe5 crystal (PBE-GGA).

Results
Symmetry: C2/m
Formation energy (no corrections) (meV/atom): -1134

Unit cell a=7.0854 b=7.0839 c=7.0757 alpha=59.96 beta=80.44 gamma=70.63
Atoms (fractional coordinates):
Se 0.5000 0.8299 0.3403
Pa 0.2430 0.5934 0.3268
Se 0.0000 0.3348 0.3303
Se 0.5000 0.1701 0.6597
Se 0.5000 0.5000 0.0000
Pa 0.7570 0.0798 0.3268
Pt 0.0000 0.0000 0.0000
Pa 0.2476 0.2419 0.0000
Pa 0.2430 0.9202 0.6732
Pa 0.7524 0.7581 0.0000
Se 0.0000 0.6652 0.6697
Pa 0.7570 0.4066 0.6732

No. 10
Entry from Alexandria via LeMat-Bulk: a relaxed SrAc2TlO6 crystal (PBE-GGA).

Results
Symmetry: R3
Formation energy (no corrections) (meV/atom): -2295

Unit cell a=6.2589 b=6.2589 c=6.4657 alpha=61.05 beta=61.05 gamma=60.00
Site moments in Bohr magnetons follow the coordinates.
Atoms (fractional coordinates):
Sr 0.8048 0.8048 0.5856  0.00
Ac 0.5304 0.5304 0.4088  0.01
O 0.6870 0.1332 0.7609  0.17
O 0.6018 0.1968 0.2519  0.12
Ac 0.0283 0.0283 0.9151  0.03
O 0.1332 0.4188 0.7609  0.17
O 0.4188 0.6870 0.7609  0.17
Tl 0.3109 0.3109 0.0672  0.00
O 0.1968 0.9495 0.2519  0.12
O 0.9495 0.6018 0.2519  0.12

No. 11
Entry from Alexandria via LeMat-Bulk: a relaxed LiAl2Ir crystal (PBE-GGA).

Results
Symmetry: Pmm2
Energy of formation from the pure elements (meV/atom): -424.3
Energy above the lowest structure with this stoichiometry (meV/atom): 304

Unit cell a=3.0526 b=3.4206 c=5.4583 alpha=90.00 beta=90.00 gamma=90.00
Atoms (fractional coordinates):
Al 0.5000 0.5000 0.2815
Li 0.5000 0.5000 0.7436
Al 0.0000 0.0000 0.9833
Ir 0.0000 0.0000 0.4916

No. 12
Entry from Alexandria via LeMat-Bulk: a relaxed CsRbAg2F5 crystal (PBE-GGA).

Results
Symmetry: P4/mmm
Formation energy (no corrections) (meV/atom): -1872

Unit cell a=4.4540 b=4.4540 c=8.9897 alpha=90.00 beta=90.00 gamma=90.00
Atoms (fractional coordinates):
F 0.5000 0.5000 0.5000
F 0.0000 0.5000 0.2063
Ag 0.5000 0.5000 0.7676
F 0.0000 0.5000 0.7937
F 0.5000 0.0000 0.2063
Cs 0.0000 0.0000 0.5000
Rb 0.0000 0.0000 0.0000
F 0.5000 0.0000 0.7937
Ag 0.5000 0.5000 0.2324

No. 13
Entry from Alexandria via LeMat-Bulk: a relaxed MnPbAu crystal (PBE-GGA).

Results
Symmetry: I4mm
Energy of formation from the pure elements (meV/atom): 150.3

Unit cell a=6.1722 b=6.1694 c=6.1694 alpha=148.42 beta=148.43 gamma=45.26
Site moments in Bohr magnetons follow the coordinates.
Atoms (fractional coordinates):
Mn 0.3570 0.3570 0.9999  3.92
Au 0.9738 0.9737 0.0002  0.07
Pb 0.6692 0.6693 0.9999  -0.05

No. 14
Entry from Alexandria via LeMat-Bulk: a relaxed YCdCu3Se4 crystal (PBE-GGA).

Results
Symmetry: P-43m
Formation energy (no corrections) (meV/atom): -539

Unit cell a=6.0538 b=6.0538 c=6.0538 alpha=90.00 beta=90.00 gamma=90.00
Atoms (fractional coordinates):
Se 0.2502 0.2502 0.2502
Se 0.2502 0.7498 0.7498
Se 0.7498 0.2502 0.7498
Cd 0.5000 0.5000 0.5000
Cu 0.0000 0.5000 0.0000
Cu 0.5000 0.0000 0.0000
Se 0.7498 0.7498 0.2502
Y 0.0000 0.0000 0.0000
Cu 0.0000 0.0000 0.5000

No. 15
Entry from Alexandria via LeMat-Bulk: a relaxed SbRhPb crystal (PBE-GGA).

Results
Symmetry: P-6m2
Formation energy (no corrections) (meV/atom): -17

Unit cell a=4.4759 b=4.4759 c=4.3401 alpha=90.00 beta=90.00 gamma=120.00
Atoms (fractional coordinates):
Rh 0.6667 0.3333 0.0000
Sb 0.3333 0.6667 0.0000
Pb 0.0000 0.0000 0.5000

No. 16
Entry from Alexandria via LeMat-Bulk: a relaxed SnBiS3 crystal (PBE-GGA).

Results
Symmetry: Pm-3m
Formation energy (no corrections) (meV/atom): 271
Energy above the lowest structure with this stoichiometry (meV/atom): 426

Unit cell a=5.2006 b=5.2006 c=5.2006 alpha=90.00 beta=90.00 gamma=90.00
Atoms (fractional coordinates):
Sn 0.5000 0.5000 0.5000
Bi 0.0000 0.0000 0.0000
S 0.0000 0.5000 0.0000
S 0.0000 0.0000 0.5000
S 0.5000 0.0000 0.0000

No. 17
Entry from Alexandria via LeMat-Bulk: a relaxed Pr7Zn2Ga2 crystal (PBE-GGA).

Results
Symmetry: Cmmm
Energy of formation from the pure elements (meV/atom): -81.1

Unit cell a=6.8082 b=7.7172 c=6.8082 alpha=90.01 beta=110.10 gamma=89.99
Atoms (fractional coordinates):
Pr 0.4999 0.7125 0.0000
Zn 0.7115 0.0000 0.2885
Ga 0.1636 0.5000 0.1636
Pr 0.0000 0.7125 0.5001
Ga 0.8364 0.5000 0.8364
Pr 0.0000 0.2875 0.4999
Pr 0.5000 0.7394 0.5000
Pr 0.5001 0.2875 0.0000
Pr 0.0000 0.0000 0.0000
Zn 0.2885 0.0000 0.7115
Pr 0.5000 0.2606 0.5000

No. 18
Entry from Alexandria via LeMat-Bulk: a relaxed CaReIr2 crystal (PBE-GGA).

Results
Symmetry: P4/mmm
Energy of formation from the pure elements (meV/atom): 171.2
Energy above the lowest structure with this stoichiometry (meV/atom): 137

Unit cell a=4.8312 b=4.8312 c=2.8315 alpha=90.00 beta=90.00 gamma=90.00
Atoms (fractional coordinates):
Ir 0.0000 0.0000 0.0000
Ca 0.0000 0.5000 0.5000
Re 0.5000 0.0000 0.5000
Ir 0.5000 0.5000 0.0000

No. 19
Entry from Alexandria via LeMat-Bulk: a relaxed Ho4Bi3H2 crystal (PBE-GGA).

Results
Symmetry: C2/c

Unit cell a=7.3973 b=7.9290 c=7.9290 alpha=77.52 beta=80.94 gamma=80.94
Atoms (fractional coordinates):
Bi 0.2500 0.6233 0.3767
Ho 0.5080 0.0723 0.7047
Bi 0.1151 0.9734 0.7312
H 0.4351 0.1699 0.4313
H 0.0649 0.5687 0.8301
Ho 0.6211 0.3911 0.2725
Ho 0.4920 0.9277 0.2953
Ho 0.8789 0.7275 0.6089
Ho 0.0080 0.7047 0.0723
Ho 0.9920 0.2953 0.9277
Bi 0.3849 0.2688 0.0266
Ho 0.1211 0.2725 0.3911
H 0.9351 0.4313 0.1699
Bi 0.6151 0.7312 0.9734
Bi 0.8849 0.0266 0.2688
Ho 0.3789 0.6089 0.7275
H 0.5649 0.8301 0.5687
Bi 0.7500 0.3767 0.6233

Electronic total energy (eV/atom)
-2.58, -4.98, -6.68, -4.89, -6.93, -2.71, -6.30, -2.89, -7.84, -6.50, -4.99, -3.75, -5.23, -4.27, -5.08, -3.78, -3.90, -7.87, -4.72